DFT (PBE) results for Co3H after structural relaxation.

Structure (POSCAR):
```
Co3H
1.0
3.390 0.000 0.000
0.000 3.390 0.000
0.000 0.000 3.390
Co H
3 1
direct
0.000 0.000 0.500
0.000 0.500 0.000
0.500 0.000 0.000
0.500 0.500 0.500
```

The value obtained for the polymorph energy (0 for the lowest one) is 421.6 meV/atom.

DFT (PBE) results for Pr3Cd2Ge4Pd2 after structural relaxation.

Structure (POSCAR):
```
Pr3Cd2Ge4Pd2
1.0
-2.119 2.207 13.324
2.119 -2.207 13.324
2.119 2.207 -13.324
Pr Cd Ge Pd
3 2 4 2
direct
0.000 0.000 0.000
0.361 0.861 0.500
0.639 0.139 0.500
0.251 0.251 0.000
0.749 0.749 0.000
0.182 0.682 0.500
0.453 0.453 0.000
0.547 0.547 0.000
0.818 0.318 0.500
0.090 0.590 0.500
0.910 0.410 0.500
```

DFT (PBE) results for NaNpW after structural relaxation.

Structure (POSCAR):
```
NaNpW
1.0
0.000 3.279 3.279
3.279 0.000 3.279
3.279 3.279 0.000
Na Np W
1 1 1
direct
0.000 0.000 0.000
0.250 0.250 0.250
0.500 0.500 0.500
```

The value obtained for the polymorph energy (0 for the lowest one) is 311.8 meV/atom.

DFT (PBE) results for PrDyPt2 after structural relaxation.

Structure (POSCAR):
```
PrDyPt2
1.0
4.586 0.000 0.000
0.000 5.664 0.000
0.000 0.000 7.221
Pr Dy Pt
2 2 4
direct
0.000 0.109 0.000
0.000 0.891 0.500
0.500 0.390 0.365
0.500 0.610 0.865
0.000 0.409 0.637
0.000 0.591 0.137
0.500 0.102 0.723
0.500 0.898 0.223
```

The value obtained for the polymorph energy (0 for the lowest one) is 14.5 meV/atom. The energy of formation is -114.6 kJ/mol of atoms.

DFT (PBE) results for NaLaFeTe after structural relaxation.

Structure (POSCAR):
```
NaLaFeTe
1.0
0.000 3.736 3.736
3.736 0.000 3.736
3.736 3.736 0.000
Na La Fe Te
1 1 1 1
direct
0.000 0.000 0.000
0.500 0.500 0.500
0.250 0.250 0.250
0.750 0.750 0.750
```

The value obtained for the polymorph energy (0 for the lowest one) is 0.0 meV/atom.

DFT (PBE) results for TcNiGeMo after structural relaxation.

Structure (POSCAR):
```
TcNiGeMo
1.0
0.000 3.039 3.039
3.039 0.000 3.039
3.039 3.039 0.000
Tc Ni Ge Mo
1 1 1 1
direct
0.000 0.000 0.000
0.500 0.500 0.500
0.250 0.250 0.250
0.750 0.750 0.750
```

The value obtained for the polymorph energy (0 for the lowest one) is 0.0 meV/atom.

Final energy: -5.563, -4.797, -6.977, -6.560, -4.499, -7.793 (eV/atom)
Density: 7.58, 7.67, 10.45, 12.28, 5.50, 9.62 (g/cm³)